1.
# Ni2TeAs2 (GGA-PBE, optimized geometry)
# ΔE to the lowest computed polymorph (meV/atom): 0.0
# Spin magnetization (μB per formula unit): 0.00
# D(E_F) (states/eV/f.u.): 2.3
data_Ni2TeAs2
_cell_length_a 3.9276
_cell_length_b 3.9276
_cell_length_c 11.1282
_cell_angle_alpha 90.00
_cell_angle_beta 90.00
_cell_angle_gamma 90.00
_symmetry_space_group_name_H-M 'I 4/m m m'
_symmetry_Int_Tables_number 139
_symmetry_space_group_name_Hall '-I 4 2'
loop_
_atom_site_label
_atom_site_fract_x
_atom_site_fract_y
_atom_site_fract_z
Ni1 0.0000 0.0000 0.1143
Te1 0.0000 0.0000 0.5000
As1 0.0000 0.5000 0.2500

2.
# Ni2TeAs2 (GGA-PBE, optimized geometry)
# ΔE to the lowest computed polymorph (meV/atom): 28.0
# Spin magnetization (μB per formula unit): 0.00
# D(E_F) (states/eV/f.u.): 3.9
data_Ni2TeAs2
_cell_length_a 4.1721
_cell_length_b 4.1721
_cell_length_c 10.1424
_cell_angle_alpha 90.00
_cell_angle_beta 90.00
_cell_angle_gamma 90.00
_symmetry_space_group_name_H-M 'I 4/m m m'
_symmetry_Int_Tables_number 139
_symmetry_space_group_name_Hall '-I 4 2'
loop_
_atom_site_label
_atom_site_fract_x
_atom_site_fract_y
_atom_site_fract_z
Ni1 0.0000 0.5000 0.2500
Te1 0.0000 0.0000 0.0000
As1 0.0000 0.0000 0.3677

3.
# Ni4TeAs (GGA-PBE, optimized geometry)
# Total energy (eV per atom): -4.916
# Spin magnetization (μB per formula unit): 1.70
# D(E_F) (states/eV/f.u.): 3.9
data_Ni4TeAs
_cell_length_a 6.9588
_cell_length_b 6.9588
_cell_length_c 6.9588
_cell_angle_alpha 90.00
_cell_angle_beta 90.00
_cell_angle_gamma 90.00
_symmetry_space_group_name_H-M 'F -4 3 m'
_symmetry_Int_Tables_number 216
_symmetry_space_group_name_Hall 'F -4 2 3'
loop_
_atom_site_label
_atom_site_fract_x
_atom_site_fract_y
_atom_site_fract_z
Ni1 0.1254 0.1254 0.1254
Te1 0.2500 0.2500 0.7500
As1 0.0000 0.0000 0.5000

4.
# Ni7TeAs2 (GGA-PBE, optimized geometry)
# Total energy (eV per atom): -5.426
# Spin magnetization (μB per formula unit): 0.00
# D(E_F) (states/eV/f.u.): 8.7
data_Ni7TeAs2
_cell_length_a 3.8571
_cell_length_b 3.8571
_cell_length_c 18.1136
_cell_angle_alpha 90.00
_cell_angle_beta 90.00
_cell_angle_gamma 90.00
_symmetry_space_group_name_H-M 'I 4/m m m'
_symmetry_Int_Tables_number 139
_symmetry_space_group_name_Hall '-I 4 2'
loop_
_atom_site_label
_atom_site_fract_x
_atom_site_fract_y
_atom_site_fract_z
Ni1 0.0000 0.0000 0.0000
Ni2 0.0000 0.5000 0.1002
Ni3 0.0000 0.5000 0.2500
Te1 0.0000 0.0000 0.5000
As1 0.0000 0.0000 0.1737

5.
# Ni2TeAs2 (GGA-PBE, optimized geometry)
# ΔE to the lowest computed polymorph (meV/atom): 5.9
# Spin magnetization (μB per formula unit): 0.00
# D(E_F) (states/eV/f.u.): 2.8
data_Ni2TeAs2
_cell_length_a 7.3570
_cell_length_b 7.3570
_cell_length_c 3.1577
_cell_angle_alpha 90.00
_cell_angle_beta 90.00
_cell_angle_gamma 90.00
_symmetry_space_group_name_H-M 'P 4/m b m'
_symmetry_Int_Tables_number 127
_symmetry_space_group_name_Hall '-P 4 2ab'
loop_
_atom_site_label
_atom_site_fract_x
_atom_site_fract_y
_atom_site_fract_z
Ni1 0.1249 0.3751 0.0000
Te1 0.0000 0.0000 0.0000
As1 0.1354 0.6354 0.5000

6.
# Tm8NiTe4As3 (GGA-PBE, optimized geometry)
# Total energy (eV per atom): -5.506
# Spin magnetization (μB per formula unit): 0.00
# D(E_F) (states/eV/f.u.): 10.2
data_Tm8NiTe4As3
_cell_length_a 8.2806
_cell_length_b 8.2806
_cell_length_c 20.9092
_cell_angle_alpha 90.00
_cell_angle_beta 90.00
_cell_angle_gamma 120.00
_symmetry_space_group_name_H-M 'R -3 m'
_symmetry_Int_Tables_number 166
_symmetry_space_group_name_Hall '-R 3 2"'
loop_
_atom_site_label
_atom_site_fract_x
_atom_site_fract_y
_atom_site_fract_z
Tm1 0.0000 0.0000 0.2392
Tm2 0.0153 0.5076 0.2373
Ni1 0.0000 0.0000 0.5000
Te1 0.0000 0.0000 0.0000
Te2 0.0000 0.5000 0.0000
As1 0.0000 0.5000 0.5000

7.
# ThNi3As2 (GGA-PBE, optimized geometry)
# Formation energy from the elements (eV/f.u.): -3.92
# Spin magnetization (μB per formula unit): 0.00
# D(E_F) (states/eV/f.u.): 4.4
data_ThNi3As2
_cell_length_a 15.2073
_cell_length_b 4.0164
_cell_length_c 6.9875
_cell_angle_alpha 90.00
_cell_angle_beta 115.56
_cell_angle_gamma 90.00
_symmetry_space_group_name_H-M 'C 1 2/m 1'
_symmetry_Int_Tables_number 12
loop_
_symmetry_equiv_pos_as_xyz
'x,y,z'
'-x,-y,-z'
'-x,y,-z'
'x,-y,z'
'x+1/2,y+1/2,z'
'-x+1/2,-y+1/2,-z'
'-x+1/2,y+1/2,-z'
'x+1/2,-y+1/2,z'
loop_
_atom_site_label
_atom_site_fract_x
_atom_site_fract_y
_atom_site_fract_z
Th1 0.1490 0.0000 0.0733
Ni1 0.0387 0.0000 0.3785
Ni2 0.1027 0.5000 0.6835
Ni3 0.1879 0.5000 0.4431
As1 0.0214 0.5000 0.2040
As2 0.1907 0.0000 0.6807

8.
# Th2Ni5As3 (GGA-PBE, optimized geometry)
# Formation energy from the elements (eV/f.u.): -7.46
# Spin magnetization (μB per formula unit): 0.00
# D(E_F) (states/eV/f.u.): 8.7
data_Th2Ni5As3
_cell_length_a 9.3883
_cell_length_b 11.8471
_cell_length_c 5.9162
_cell_angle_alpha 90.00
_cell_angle_beta 90.00
_cell_angle_gamma 90.00
_symmetry_space_group_name_H-M 'I b a m'
_symmetry_Int_Tables_number 72
_symmetry_space_group_name_Hall '-I 2 2c'
loop_
_atom_site_label
_atom_site_fract_x
_atom_site_fract_y
_atom_site_fract_z
Th1 0.2427 0.1323 0.0000
Ni1 0.0000 0.2690 0.2500
Ni2 0.0000 0.5000 0.2500
Ni3 0.1147 0.1256 0.5000
As1 0.0000 0.0000 0.2500
As2 0.1367 0.3811 0.0000

9.
# Th3Ni7As4 (GGA-PBE, optimized geometry)
# Formation energy from the elements (eV/f.u.): -10.17
# Spin magnetization (μB per formula unit): 0.00
# D(E_F) (states/eV/f.u.): 7.7
data_Th3Ni7As4
_cell_length_a 15.2601
_cell_length_b 4.1033
_cell_length_c 9.1753
_cell_angle_alpha 90.00
_cell_angle_beta 126.58
_cell_angle_gamma 90.00
_symmetry_space_group_name_H-M 'C 1 2/m 1'
_symmetry_Int_Tables_number 12
loop_
_symmetry_equiv_pos_as_xyz
'x,y,z'
'-x,-y,-z'
'-x,y,-z'
'x,-y,z'
'x+1/2,y+1/2,z'
'-x+1/2,-y+1/2,-z'
'-x+1/2,y+1/2,-z'
'x+1/2,-y+1/2,z'
loop_
_atom_site_label
_atom_site_fract_x
_atom_site_fract_y
_atom_site_fract_z
Th1 0.0000 0.0000 0.0000
Th2 0.1796 0.5000 0.6889
Ni1 0.0000 0.0000 0.5000
Ni2 0.0007 0.5000 0.2889
Ni3 0.1355 0.0000 0.8668
Ni4 0.1762 0.5000 0.3149
As1 0.1240 0.0000 0.4022
As2 0.1637 0.5000 0.0331

10.
# Th2NiAs4 (GGA-PBE, optimized geometry)
# Formation energy from the elements (eV/f.u.): -7.01
# Spin magnetization (μB per formula unit): 0.00
# D(E_F) (states/eV/f.u.): 2.2
data_Th2NiAs4
_cell_length_a 4.1104
_cell_length_b 4.1104
_cell_length_c 9.1273
_cell_angle_alpha 90.00
_cell_angle_beta 90.00
_cell_angle_gamma 90.00
_symmetry_space_group_name_H-M 'P -4 m 2'
_symmetry_Int_Tables_number 115
loop_
_symmetry_equiv_pos_as_xyz
'x,y,z'
'y,-x,-z'
'-x,-y,z'
'-y,x,-z'
'-x,y,z'
'-y,-x,-z'
'x,-y,z'
'y,x,-z'
loop_
_atom_site_label
_atom_site_fract_x
_atom_site_fract_y
_atom_site_fract_z
Th1 0.0000 0.5000 0.2345
Ni1 0.5000 0.5000 0.0000
As1 0.0000 0.0000 0.5000
As2 0.0000 0.5000 0.8671
As3 0.5000 0.5000 0.5000

11.
# Th3Ni6As5 (GGA-PBE, optimized geometry)
# Formation energy from the elements (eV/f.u.): -11.82
# Spin magnetization (μB per formula unit): 0.00
# D(E_F) (states/eV/f.u.): 6.6
data_Th3Ni6As5
_cell_length_a 4.0765
_cell_length_b 12.2965
_cell_length_c 9.5576
_cell_angle_alpha 90.00
_cell_angle_beta 90.00
_cell_angle_gamma 90.00
_symmetry_space_group_name_H-M 'P m m n'
_symmetry_Int_Tables_number 59
loop_
_symmetry_equiv_pos_as_xyz
'x,y,z'
'-x,-y,-z'
'-x+1/2,-y+1/2,z'
'x+1/2,y+1/2,-z'
'x+1/2,-y,-z'
'-x+1/2,y,z'
'-x,y+1/2,-z'
'x,-y+1/2,z'
loop_
_atom_site_label
_atom_site_fract_x
_atom_site_fract_y
_atom_site_fract_z
Th1 0.2500 0.0845 0.2471
Th2 0.2500 0.7500 0.2551
Ni1 0.2500 0.0724 0.8862
Ni2 0.2500 0.2500 0.0066
Ni3 0.2500 0.2500 0.5014
Ni4 0.2500 0.5808 0.4989
As1 0.2500 0.0824 0.6362
As2 0.2500 0.6140 0.9891
As3 0.2500 0.7500 0.6344

12.
# ThNiAs2 (GGA-PBE, optimized geometry)
# Formation energy from the elements (eV/f.u.): -0.20
# Spin magnetization (μB per formula unit): 1.57
# D(E_F) (states/eV/f.u.): 10.2
data_ThNiAs2
_cell_length_a 4.4864
_cell_length_b 4.4864
_cell_length_c 22.0451
_cell_angle_alpha 90.00
_cell_angle_beta 90.00
_cell_angle_gamma 120.00
_symmetry_space_group_name_H-M 'R -3 m'
_symmetry_Int_Tables_number 166
_symmetry_space_group_name_Hall '-R 3 2"'
loop_
_atom_site_label
_atom_site_fract_x
_atom_site_fract_y
_atom_site_fract_z
Th1 0.0000 0.0000 0.0000
Ni1 0.0000 0.0000 0.5000
As1 0.0000 0.0000 0.3985